i | {
  "formula": "InBiPS2",
  "functional": "PBE",
  "state": "optimized geometry",
  "cell": [[5.056, 0.000, 0.000], [0.000, 5.056, 0.000], [0.000, 0.000, 5.076]],
  "species": ["In", "Bi", "P", "S", "S"],
  "fractional_positions": [[0.000, 0.000, 0.000], [0.500, 0.500, 0.500], [0.000, 0.000, 0.500], [0.000, 0.500, 0.000], [0.500, 0.000, 0.000]],
  "spacegroup": "No. 123",
  "rho_g_cm3": 5.4
}


ii | {
  "formula": "InBiPS2",
  "functional": "PBE",
  "state": "optimized geometry",
  "cell": [[5.361, 0.000, 0.000], [0.000, 5.361, 0.000], [0.000, 0.000, 5.410]],
  "species": ["In", "Bi", "P", "S", "S"],
  "fractional_positions": [[0.000, 0.000, 0.000], [0.500, 0.500, 0.500], [0.500, 0.500, 0.000], [0.000, 0.500, 0.500], [0.500, 0.000, 0.500]],
  "spacegroup": "No. 123",
  "rho_g_cm3": 4.5
}


Stability summary - winner: i; margin: 60 meV/atom.


i | {
  "formula": "PaInBi",
  "functional": "PBE",
  "state": "optimized geometry",
  "cell": [[4.423, 0.000, 0.000], [0.000, 4.423, 0.000], [0.000, 0.000, 8.738]],
  "species": ["Pa", "Pa", "In", "In", "Bi", "Bi"],
  "fractional_positions": [[0.250, 0.250, 0.212], [0.750, 0.750, 0.788], [0.250, 0.750, 0.500], [0.750, 0.250, 0.500], [0.250, 0.250, 0.842], [0.750, 0.750, 0.158]],
  "spacegroup": "No. 129",
  "rho_g_cm3": 10.8
}


ii | {
  "formula": "PaInBi",
  "functional": "PBE",
  "state": "optimized geometry",
  "cell": [[2.562, 1.479, 8.861], [-2.562, 1.479, 8.861], [0.000, -2.958, 8.861]],
  "species": ["Pa", "Pa", "In", "In", "Bi", "Bi"],
  "fractional_positions": [[0.243, 0.243, 0.243], [0.757, 0.757, 0.757], [0.363, 0.363, 0.363], [0.637, 0.637, 0.637], [0.121, 0.121, 0.121], [0.879, 0.879, 0.879]],
  "spacegroup": "No. 166",
  "rho_g_cm3": 9.1
}


iii | {
  "formula": "PaInBi",
  "functional": "PBE",
  "state": "optimized geometry",
  "cell": [[-1.958, 1.958, 5.358], [1.958, -1.958, 5.358], [1.958, 1.958, -5.358]],
  "species": ["Pa", "In", "Bi"],
  "fractional_positions": [[0.000, 0.000, 0.000], [0.326, 0.326, 0.000], [0.669, 0.669, 0.000]],
  "spacegroup": "No. 107",
  "rho_g_cm3": 11.2
}


iv | {
  "formula": "PaInBi",
  "functional": "PBE",
  "state": "optimized geometry",
  "cell": [[5.465, 0.000, 0.000], [-2.732, 4.732, 0.000], [0.000, 0.000, 3.167]],
  "species": ["Pa", "In", "Bi"],
  "fractional_positions": [[0.000, 0.000, 0.000], [0.667, 0.333, 0.500], [0.333, 0.667, 0.500]],
  "spacegroup": "No. 187",
  "rho_g_cm3": 11.2
}


Stability summary - winner: i; margin: 166 meV/atom.


i | {
  "formula": "InBi2Pb6",
  "functional": "PBE",
  "state": "optimized geometry",
  "cell": [[8.074, -1.741, 0.000], [8.074, 1.741, 0.000], [-6.322, 0.000, 10.185]],
  "species": ["In", "Bi", "Bi", "Pb", "Pb", "Pb", "Pb", "Pb", "Pb"],
  "fractional_positions": [[0.000, 0.000, 0.000], [0.346, 0.346, 0.705], [0.654, 0.654, 0.295], [0.049, 0.049, 0.750], [0.227, 0.227, 0.102], [0.375, 0.375, 0.447], [0.625, 0.625, 0.553], [0.773, 0.773, 0.898], [0.951, 0.951, 0.250]],
  "spacegroup": "No. 12",
  "rho_g_cm3": 10.3
}


ii | {
  "formula": "InBi2Pb6",
  "functional": "PBE",
  "state": "optimized geometry",
  "cell": [[5.714, -2.853, 0.000], [5.714, 2.853, 0.000], [-1.908, 0.000, 8.652]],
  "species": ["In", "Bi", "Bi", "Pb", "Pb", "Pb", "Pb", "Pb", "Pb"],
  "fractional_positions": [[0.000, 0.000, 0.000], [0.446, 0.446, 0.677], [0.554, 0.554, 0.323], [0.101, 0.101, 0.673], [0.222, 0.222, 0.346], [0.330, 0.330, 0.997], [0.670, 0.670, 0.003], [0.778, 0.778, 0.654], [0.899, 0.899, 0.327]],
  "spacegroup": "No. 12",
  "rho_g_cm3": 10.5
}


Stability summary - winner: ii; margin: 10 meV/atom.


i | {
  "formula": "InBi2Pb3",
  "functional": "PBE",
  "state": "optimized geometry",
  "cell": [[10.214, -2.251, 0.000], [10.214, 2.251, 0.000], [-2.441, 0.000, 8.662]],
  "species": ["In", "In", "Bi", "Bi", "Bi", "Bi", "Pb", "Pb", "Pb", "Pb", "Pb", "Pb"],
  "fractional_positions": [[0.095, 0.095, 0.024], [0.905, 0.905, 0.976], [0.215, 0.215, 0.379], [0.476, 0.476, 0.793], [0.524, 0.524, 0.207], [0.785, 0.785, 0.621], [0.077, 0.077, 0.467], [0.267, 0.267, 0.872], [0.370, 0.370, 0.238], [0.630, 0.630, 0.762], [0.733, 0.733, 0.128], [0.923, 0.923, 0.533]],
  "spacegroup": "No. 12",
  "rho_g_cm3": 9.6
}


ii | {
  "formula": "InBi2Pb3",
  "functional": "PBE",
  "state": "optimized geometry",
  "cell": [[2.634, -7.311, 0.000], [2.634, 7.311, 0.000], [0.000, 0.000, 4.873]],
  "species": ["In", "Bi", "Bi", "Pb", "Pb", "Pb"],
  "fractional_positions": [[0.000, 0.000, 0.000], [0.331, 0.669, 0.000], [0.669, 0.331, 0.000], [0.160, 0.840, 0.500], [0.500, 0.500, 0.500], [0.840, 0.160, 0.500]],
  "spacegroup": "No. 65",
  "rho_g_cm3": 10.2
}


Stability summary - winner: ii; margin: 53 meV/atom.


i | {
  "formula": "In2BiPb6",
  "functional": "PBE",
  "state": "optimized geometry",
  "cell": [[5.770, -2.356, 0.000], [5.770, 2.356, 0.000], [-3.429, 0.000, 10.190]],
  "species": ["In", "In", "Bi", "Pb", "Pb", "Pb", "Pb", "Pb", "Pb"],
  "fractional_positions": [[0.169, 0.169, 0.055], [0.831, 0.831, 0.945], [0.500, 0.500, 0.500], [0.162, 0.162, 0.388], [0.171, 0.171, 0.726], [0.497, 0.497, 0.160], [0.503, 0.503, 0.840], [0.829, 0.829, 0.274], [0.838, 0.838, 0.612]],
  "spacegroup": "No. 12",
  "rho_g_cm3": 10.1
}


ii | {
  "formula": "In2BiPb6",
  "functional": "PBE",
  "state": "optimized geometry",
  "cell": [[3.470, 0.000, 0.000], [-1.735, 3.005, 0.000], [0.000, 0.000, 26.584]],
  "species": ["In", "In", "Bi", "Pb", "Pb", "Pb", "Pb", "Pb", "Pb"],
  "fractional_positions": [[0.000, 0.000, 0.168], [0.000, 0.000, 0.832], [0.667, 0.333, 0.500], [0.000, 0.000, 0.387], [0.000, 0.000, 0.613], [0.667, 0.333, 0.063], [0.667, 0.333, 0.275], [0.667, 0.333, 0.725], [0.667, 0.333, 0.937]],
  "spacegroup": "No. 187",
  "rho_g_cm3": 10.1
}


Stability summary - winner: i; margin: 18 meV/atom.


i | {
  "formula": "InBi6Pb12",
  "functional": "PBE",
  "state": "optimized geometry",
  "cell": [[6.787, 3.919, 4.669], [-6.787, 3.919, 4.669], [0.000, -7.837, 4.669]],
  "species": ["In", "Bi", "Bi", "Bi", "Bi", "Bi", "Bi", "Pb", "Pb", "Pb", "Pb", "Pb", "Pb", "Pb", "Pb", "Pb", "Pb", "Pb", "Pb"],
  "fractional_positions": [[0.000, 0.000, 0.000], [0.149, 0.270, 0.562], [0.270, 0.562, 0.149], [0.438, 0.851, 0.730], [0.562, 0.149, 0.270], [0.730, 0.438, 0.851], [0.851, 0.730, 0.438], [0.052, 0.312, 0.894], [0.106, 0.948, 0.688], [0.188, 0.616, 0.491], [0.312, 0.894, 0.052], [0.384, 0.509, 0.812], [0.491, 0.188, 0.616], [0.509, 0.812, 0.384], [0.616, 0.491, 0.188], [0.688, 0.106, 0.948], [0.812, 0.384, 0.509], [0.894, 0.052, 0.312], [0.948, 0.688, 0.106]],
  "spacegroup": "No. 148",
  "rho_g_cm3": 8.6
}


ii | {
  "formula": "InBi6Pb12",
  "functional": "PBE",
  "state": "optimized geometry",
  "cell": [[6.166, 3.560, 4.713], [-6.166, 3.560, 4.713], [0.000, -7.120, 4.713]],
  "species": ["In", "Bi", "Bi", "Bi", "Bi", "Bi", "Bi", "Pb", "Pb", "Pb", "Pb", "Pb", "Pb", "Pb", "Pb", "Pb", "Pb", "Pb", "Pb"],
  "fractional_positions": [[0.000, 0.000, 0.000], [0.132, 0.740, 0.285], [0.260, 0.715, 0.868], [0.285, 0.132, 0.740], [0.715, 0.868, 0.260], [0.740, 0.285, 0.132], [0.868, 0.260, 0.715], [0.022, 0.145, 0.372], [0.145, 0.372, 0.022], [0.204, 0.466, 0.545], [0.372, 0.022, 0.145], [0.455, 0.796, 0.534], [0.466, 0.545, 0.204], [0.534, 0.455, 0.796], [0.545, 0.204, 0.466], [0.628, 0.978, 0.855], [0.796, 0.534, 0.455], [0.855, 0.628, 0.978], [0.978, 0.855, 0.628]],
  "spacegroup": "No. 148",
  "rho_g_cm3": 10.3
}


Stability summary - winner: ii; margin: 43 meV/atom.


i | {
  "formula": "In3Bi2Pb",
  "functional": "PBE",
  "state": "optimized geometry",
  "cell": [[4.863, 0.000, 0.000], [0.000, 10.641, 0.000], [0.000, 0.000, 7.118]],
  "species": ["In", "In", "In", "In", "In", "In", "Bi", "Bi", "Bi", "Bi", "Pb", "Pb"],
  "fractional_positions": [[0.000, 0.022, 0.000], [0.000, 0.333, 0.410], [0.000, 0.667, 0.910], [0.000, 0.978, 0.500], [0.500, 0.154, 0.738], [0.500, 0.846, 0.238], [0.000, 0.342, 0.854], [0.000, 0.658, 0.354], [0.500, 0.158, 0.281], [0.500, 0.842, 0.781], [0.500, 0.474, 0.157], [0.500, 0.526, 0.657]],
  "spacegroup": "No. 26",
  "rho_g_cm3": 8.7
}


ii | {
  "formula": "In3Bi2Pb",
  "functional": "PBE",
  "state": "optimized geometry",
  "cell": [[3.528, -4.920, 0.000], [3.528, 4.920, 0.000], [-2.722, 0.000, 10.364]],
  "species": ["In", "In", "In", "In", "In", "In", "Bi", "Bi", "Bi", "Bi", "Pb", "Pb"],
  "fractional_positions": [[0.125, 0.875, 0.750], [0.202, 0.461, 0.914], [0.461, 0.202, 0.414], [0.539, 0.798, 0.586], [0.798, 0.539, 0.086], [0.875, 0.125, 0.250], [0.054, 0.295, 0.581], [0.295, 0.054, 0.081], [0.705, 0.946, 0.919], [0.946, 0.705, 0.419], [0.371, 0.629, 0.250], [0.629, 0.371, 0.750]],
  "spacegroup": "No. 15",
  "rho_g_cm3": 9.0
}


Stability summary - winner: i; margin: 18 meV/atom.


i | {
  "formula": "In3BiPb2",
  "functional": "PBE",
  "state": "optimized geometry",
  "cell": [[2.988, -5.266, 0.000], [2.988, 5.266, 0.000], [-2.314, 0.000, 11.378]],
  "species": ["In", "In", "In", "In", "In", "In", "Bi", "Bi", "Pb", "Pb", "Pb", "Pb"],
  "fractional_positions": [[0.084, 0.418, 0.753], [0.246, 0.246, 0.246], [0.418, 0.084, 0.753], [0.582, 0.916, 0.247], [0.754, 0.754, 0.754], [0.916, 0.582, 0.247], [0.167, 0.833, 0.000], [0.833, 0.167, 0.000], [0.000, 0.000, 0.500], [0.333, 0.667, 0.500], [0.500, 0.500, 0.000], [0.667, 0.333, 0.500]],
  "spacegroup": "No. 12",
  "rho_g_cm3": 9.0
}


ii | {
  "formula": "In3BiPb2",
  "functional": "PBE",
  "state": "optimized geometry",
  "cell": [[3.544, -4.826, 0.000], [3.544, 4.826, 0.000], [-3.492, 0.000, 10.458]],
  "species": ["In", "In", "In", "In", "In", "In", "Bi", "Bi", "Pb", "Pb", "Pb", "Pb"],
  "fractional_positions": [[0.038, 0.289, 0.578], [0.125, 0.875, 0.750], [0.289, 0.038, 0.078], [0.711, 0.962, 0.922], [0.875, 0.125, 0.250], [0.962, 0.711, 0.422], [0.375, 0.625, 0.250], [0.625, 0.375, 0.750], [0.205, 0.455, 0.911], [0.455, 0.205, 0.411], [0.545, 0.795, 0.589], [0.795, 0.545, 0.089]],
  "spacegroup": "No. 15",
  "rho_g_cm3": 9.0
}


Stability summary - winner: ii; margin: 8 meV/atom.


i | {
  "formula": "InBi3Pb5",
  "functional": "PBE",
  "state": "optimized geometry",
  "cell": [[8.579, -4.954, 0.000], [8.579, 4.954, 0.000], [-0.006, 0.000, 6.764]],
  "species": ["In", "In", "Bi", "Bi", "Bi", "Bi", "Bi", "Bi", "Pb", "Pb", "Pb", "Pb", "Pb", "Pb", "Pb", "Pb", "Pb", "Pb"],
  "fractional_positions": [[0.000, 0.000, 0.000], [0.000, 0.000, 0.500], [0.000, 0.341, 0.750], [0.000, 0.659, 0.250], [0.341, 0.000, 0.250], [0.342, 0.658, 0.750], [0.658, 0.342, 0.250], [0.659, 0.000, 0.750], [0.000, 0.327, 0.249], [0.000, 0.673, 0.751], [0.327, 0.000, 0.749], [0.327, 0.673, 0.250], [0.333, 0.334, 0.498], [0.334, 0.333, 0.998], [0.666, 0.667, 0.002], [0.667, 0.666, 0.502], [0.673, 0.000, 0.251], [0.673, 0.327, 0.750]],
  "spacegroup": "No. 15",
  "rho_g_cm3": 10.3
}


ii | {
  "formula": "InBi3Pb5",
  "functional": "PBE",
  "state": "optimized geometry",
  "cell": [[6.989, -4.782, 0.000], [6.989, 4.782, 0.000], [-4.884, 0.000, 10.200]],
  "species": ["In", "In", "Bi", "Bi", "Bi", "Bi", "Bi", "Bi", "Pb", "Pb", "Pb", "Pb", "Pb", "Pb", "Pb", "Pb", "Pb", "Pb"],
  "fractional_positions": [[0.099, 0.099, 0.304], [0.901, 0.901, 0.696], [0.000, 0.000, 0.000], [0.000, 0.000, 0.500], [0.252, 0.252, 0.740], [0.328, 0.328, 0.357], [0.672, 0.672, 0.643], [0.748, 0.748, 0.260], [0.136, 0.661, 0.228], [0.256, 0.256, 0.030], [0.338, 0.662, 0.000], [0.339, 0.864, 0.772], [0.438, 0.438, 0.664], [0.562, 0.562, 0.336], [0.661, 0.136, 0.228], [0.662, 0.338, 0.000], [0.744, 0.744, 0.970], [0.864, 0.339, 0.772]],
  "spacegroup": "No. 12",
  "rho_g_cm3": 8.7
}


Stability summary - winner: i; margin: 153 meV/atom.